! BaTlSnPbBr | the Alexandria database | PBE | relaxed; values from VASP
! - uncorrected formation energy (meV/atom) = -675
! - DOS(E_F) (states/eV/f.u.) = 2.56
! - symmetry = Imm2, No. 44
! - calculated volume (Å³ per atom) = 37.296
! - total energy (eV for the cell shown) = -34.1
&SYSTEM
  ibrav = 0, nat = 10, ntyp = 5
/
ATOMIC_SPECIES
Ba 137.33 Ba.upf
Br 79.90 Br.upf
Pb 207.20 Pb.upf
Tl 204.38 Tl.upf
Sn 118.71 Sn.upf
ATOMIC_POSITIONS angstrom
Ba 2.2150 2.2206 4.8778
Ba 0.0000 0.0000 14.3559
Br 0.0000 0.0000 5.9769
Br 2.2150 2.2206 15.4550
Pb 2.2150 0.0000 1.8200
Pb 0.0000 2.2206 11.2981
Tl 0.0000 0.0000 18.2066
Tl 2.2150 2.2206 8.7285
Sn 2.2150 0.0000 11.2705
Sn 0.0000 2.2206 1.7923
CELL_PARAMETERS angstrom
4.4300 0.0000 0.0000
0.0000 4.4413 0.0000
0.0000 0.0000 18.9562


! BaTlSnPbBr | the Alexandria database | PBE | relaxed; values from VASP
! - uncorrected formation energy (meV/atom) = -701
! - DOS(E_F) (states/eV/f.u.) = 0.18
! - symmetry = Cm, No. 8
! - calculated volume (Å³ per atom) = 38.536
! - total energy (eV for the cell shown) = -34.4
&SYSTEM
  ibrav = 0, nat = 10, ntyp = 5
/
ATOMIC_SPECIES
Sn 118.71 Sn.upf
Br 79.90 Br.upf
Pb 207.20 Pb.upf
Tl 204.38 Tl.upf
Ba 137.33 Ba.upf
ATOMIC_POSITIONS angstrom
Sn -6.0041 -1.0753 -2.0855
Sn -2.1681 0.1058 -4.8330
Br -5.5708 -0.6660 2.9674
Br -1.7348 0.5151 0.2199
Pb -8.8742 -0.1905 -1.4117
Pb -5.0382 0.9907 -4.1592
Tl -5.4235 1.5139 -0.2290
Tl -2.9168 -1.9927 -2.4827
Ba -5.9144 -1.5577 -6.4244
Ba -8.4211 1.9488 -4.1706
CELL_PARAMETERS angstrom
-3.5118 0.0369 -9.1052
-1.3293 -4.6877 0.4937
-6.3427 2.3254 5.0013


| no. | total moment (μB per formula unit) |
| --- | --- |
| 1 | 0.0 |
| 2 | 0.0 |